{
  "formula": "RbVBF6",
  "functional": "PBE+U",
  "state": "optimized geometry",
  "lattice_angstrom": [[2.5661, -4.4324, 0.0000], [2.5661, 4.4324, 0.0000], [-0.0070, 0.0000, 5.9625]],
  "species": ["Rb", "V", "B", "F", "F", "F", "F", "F", "F"],
  "frac_coords": [[0.0000, 0.0000, 0.0000], [0.3330, 0.6670, 0.5000], [0.6669, 0.3331, 0.5000], [0.4089, 0.0668, 0.6601], [0.4085, 0.3415, 0.3406], [0.6585, 0.5915, 0.6594], [0.6585, 0.0667, 0.3407], [0.9333, 0.3415, 0.6593], [0.9332, 0.5911, 0.3399]],
  "dos_ef_per_ev_atom": 0.000,
  "dft_energy_ev_per_atom": -5.424,
  "m_tot_mub_per_fu": 3.000
}

=====

{
  "formula": "Rb2VBF6",
  "functional": "PBE+U",
  "state": "optimized geometry",
  "lattice_angstrom": [[-3.0265, 3.0265, 4.3613], [3.0265, -3.0265, 4.3613], [3.0265, 3.0265, -4.3613]],
  "species": ["Rb", "Rb", "V", "B", "F", "F", "F", "F", "F", "F"],
  "frac_coords": [[0.2500, 0.7500, 0.5000], [0.7500, 0.2500, 0.5000], [0.0000, 0.0000, 0.0000], [0.5000, 0.5000, 0.0000], [0.2242, 0.2242, 0.0000], [0.2340, 0.2340, 0.4679], [0.2340, 0.7660, 0.0000], [0.7660, 0.2340, 0.0000], [0.7660, 0.7660, 0.5321], [0.7758, 0.7758, 0.0000]],
  "dos_ef_per_ev_atom": 2.437,
  "dft_energy_ev_per_atom": -4.822,
  "m_tot_mub_per_fu": 2.000
}